--- A ---
PuHf2Pa | GGA-PBE | relaxed

Properties
crystal system: trigonal

a = 3.2113 Å, b = 3.2113 Å, c = 32.0723 Å
α = 90.00°, β = 90.00°, γ = 120.00°
Space group R-3m (No. 166, hexagonal axes)
Symmetry-distinct sites (fractional):
Pu  0.0000  0.0000  0.0000 (multiplicity 3)
Hf  0.0000  0.0000  0.2505 (multiplicity 6)
Pa  0.0000  0.0000  0.5000 (multiplicity 3)

=====

--- B ---
PuHf2Pa | GGA-PBE | relaxed

Properties
crystal system: tetragonal

a = 4.406 Å, b = 4.406 Å, c = 4.826 Å
α = 90.00°, β = 90.00°, γ = 90.00°
Space group P4/mmm (No. 123)
Symmetry-distinct sites (fractional):
Pu  0.000  0.000  0.000 (multiplicity 1)
Hf  0.000  0.500  0.500 (multiplicity 2)
Pa  0.500  0.500  0.000 (multiplicity 1)

=====

Energy relative to the most stable one, in kJ/mol of atoms: A 8.2; B 0.0